{"formula": "PrYTeI", "functional": "PBE", "state": "relaxed", "final_energy_ev_per_atom": -5.02, "m_tot_mub_per_cell": 0.00, "space_group": "No. 216", "raw_formation_energy_mev_per_atom": -1040, "lattice": [[5.4462, 0.0000, 0.0000], [2.7231, 4.7165, 0.0000], [2.7231, 1.5722, 4.4468]], "species": ["Pr", "I", "Te", "Y"], "frac_coords": [[0.2500, 0.2500, 0.2500], [0.5000, 0.5000, 0.5000], [0.0000, 0.0000, 0.0000], [0.7500, 0.7500, 0.7500]]}

=====

{"formula": "PrYTe2I", "functional": "PBE", "state": "relaxed", "final_energy_ev_per_atom": -5.00, "m_tot_mub_per_cell": 0.00, "space_group": "No. 129", "raw_formation_energy_mev_per_atom": -1185, "lattice": [[4.6423, 0.0000, 0.0000], [0.0000, 4.6423, 0.0000], [0.0000, 0.0000, 15.1289]], "species": ["Pr", "Pr", "Y", "Y", "Te", "Te", "Te", "Te", "I", "I"], "frac_coords": [[0.5000, 0.0000, 0.6552], [0.0000, 0.5000, 0.3448], [0.5000, 0.0000, 0.0866], [0.0000, 0.5000, 0.9134], [0.0000, 0.5000, 0.7100], [0.0000, 0.5000, 0.1164], [0.5000, 0.0000, 0.8836], [0.5000, 0.0000, 0.2900], [0.0000, 0.0000, 0.5000], [0.5000, 0.5000, 0.5000]]}

=====

{"formula": "Pr2ThI", "functional": "PBE", "state": "relaxed", "final_energy_ev_per_atom": -4.98, "m_tot_mub_per_cell": 0.00, "space_group": "No. 123", "raw_formation_energy_mev_per_atom": -350, "lattice": [[-1.1941, -1.8268, -3.0643], [-2.0499, -2.2933, 2.1660], [-7.5790, 6.1187, -0.6943]], "species": ["Pr", "Pr", "I", "Th"], "frac_coords": [[0.0000, 0.0000, 0.7526], [0.0000, 0.0000, 0.2474], [0.5000, 0.5000, 0.5000], [0.5000, 0.5000, 0.0000]]}

=====

{"formula": "Pr2ThI", "functional": "PBE", "state": "relaxed", "final_energy_ev_per_atom": -4.74, "m_tot_mub_per_cell": 0.00, "space_group": "No. 166", "raw_formation_energy_mev_per_atom": -107, "lattice": [[3.6380, 0.0000, 0.0000], [1.8190, 3.1506, 0.0000], [1.8190, 1.0502, 12.0951]], "species": ["Pr", "Pr", "I", "Th"], "frac_coords": [[0.0952, 0.0952, 0.7144], [0.9048, 0.9048, 0.2856], [0.5000, 0.5000, 0.5000], [0.0000, 0.0000, 0.0000]]}

=====

{"formula": "PrThI4", "functional": "PBE", "state": "relaxed", "final_energy_ev_per_atom": -4.21, "m_tot_mub_per_cell": 0.00, "space_group": "No. 10", "raw_formation_energy_mev_per_atom": -1145, "lattice": [[4.0407, 0.0000, 0.0000], [0.0000, 6.7723, -1.8708], [0.0000, 0.0936, 8.8972]], "species": ["Pr", "Th", "I", "I", "I", "I"], "frac_coords": [[0.0000, 0.5000, 0.5000], [0.5000, 0.0000, 0.5000], [0.0000, 0.2474, 0.7589], [0.0000, 0.7526, 0.2411], [0.5000, 0.7538, 0.7570], [0.5000, 0.2462, 0.2430]]}

=====

{"formula": "PrTiI", "functional": "PBE", "state": "relaxed", "final_energy_ev_per_atom": -4.90, "m_tot_mub_per_cell": 0.00, "space_group": "No. 12", "raw_formation_energy_mev_per_atom": -163, "lattice": [[3.6918, 0.0000, 0.0000], [-1.8459, 5.6184, 1.0657], [0.0000, -1.2747, 7.8571]], "species": ["Pr", "Pr", "Ti", "Ti", "I", "I"], "frac_coords": [[0.0666, 0.1333, 0.7844], [0.9334, 0.8667, 0.2156], [0.3705, 0.7410, 0.5278], [0.6295, 0.2590, 0.4722], [0.7948, 0.5897, 0.7923], [0.2052, 0.4103, 0.2077]]}